(1)
Compound: Pr4NdSc2
Source: the Alexandria database
Functional: GGA-PBE
Structure: optimized geometry

The space group is I4/mmm (No. 139) and the conventional cell measures 5.814, 5.814 and 15.912 Å, with angles of 90.00, 90.00 and 90.00 degrees. Symmetry generates all atoms from Pr at (0.000, 0.000, 0.195), Pr at (0.000, 0.500, 0.000), Nd at (0.000, 0.000, 0.000) and Sc at (0.000, 0.000, 0.400).

The offset from the most stable computed form is 615.6 meV/atom. The calculated formation energy is 4.8 eV/f.u.

(2)
Compound: PmAgAu4
Source: the Alexandria database
Functional: GGA-PBE
Structure: optimized geometry

The space group is F-43m (No. 216) and the conventional cell measures 7.886, 7.886 and 7.886 Å, with angles of 90.00, 90.00 and 90.00 degrees. Symmetry generates all atoms from Pm at (0.000, 0.000, 0.000), Ag at (0.250, 0.250, 0.750) and Au at (0.124, 0.124, 0.376).

The offset from the most stable computed form is 0.0 meV/atom. The calculated formation energy is -2.5 eV/f.u.

(3)
Compound: TiVS2Cl
Source: the Alexandria database
Functional: GGA-PBE
Structure: optimized geometry

The space group is P4/mmm (No. 123) and the conventional cell measures 4.695, 4.695 and 4.538 Å, with angles of 90.00, 90.00 and 90.00 degrees. Symmetry generates all atoms from Ti at (0.000, 0.000, 0.000), V at (0.500, 0.500, 0.500), S at (0.000, 0.500, 0.500) and Cl at (0.500, 0.500, 0.000).

The offset from the most stable computed form is 0.0 meV/atom. The uncorrected formation energy comes out at -15.9 kJ/mol of atoms.

(4)
Compound: Hg2SbOs
Source: the Alexandria database
Functional: GGA-PBE
Structure: optimized geometry

The space group is Pm (No. 6) and the conventional cell measures 3.149, 3.171 and 9.414 Å, with angles of 90.00, 99.40 and 90.00 degrees. Symmetry generates all atoms from Hg at (0.000, 0.000, 0.000), Hg at (0.132, 0.500, 0.301), Sb at (0.315, 0.500, 0.675) and Os at (0.732, 0.000, 0.507).

The uncorrected formation energy comes out at 33.8 kJ/mol of atoms.

(5)
Compound: Pr5SmY2Er
Source: the Alexandria database
Functional: GGA-PBE
Structure: optimized geometry

The space group is I4/mcm (No. 140) and the conventional cell measures 9.526, 9.526 and 14.132 Å, with angles of 90.00, 90.00 and 90.00 degrees. Symmetry generates all atoms from Pr at (0.000, 0.000, 0.000), Pr at (0.202, 0.298, 0.134), Sm at (0.000, 0.000, 0.250), Y at (0.108, 0.392, 0.500) and Er at (0.000, 0.500, 0.250).

The calculated formation energy is 2.8 eV/f.u.

(6)
Compound: CePmEuGa
Source: the Alexandria database
Functional: GGA-PBE
Structure: optimized geometry

The space group is F-43m (No. 216) and the conventional cell measures 7.695, 7.695 and 7.695 Å, with angles of 90.00, 90.00 and 90.00 degrees. Symmetry generates all atoms from Ce at (0.000, 0.000, 0.000), Pm at (0.250, 0.250, 0.750), Eu at (0.000, 0.000, 0.500) and Ga at (0.250, 0.250, 0.250).

The calculated formation energy is 0.0 eV/f.u.

Magnetic moment readings, ordered: 0.007 0.000 1.555 0.000 0.000 38.513 μB/cell